(1)
{"formula": "Sr6RhAu2", "functional": "PBE", "state": "relaxed", "lattice_angstrom": [[7.398, 0.000, 0.000], [0.000, 8.298, 0.000], [-7.218, 0.000, 10.900]], "species": ["Sr", "Sr", "Sr", "Sr", "Sr", "Sr", "Sr", "Sr", "Sr", "Sr", "Sr", "Sr", "Rh", "Rh", "Au", "Au", "Au", "Au"], "fractional_positions": [[0.096, 0.044, 0.247], [0.096, 0.456, 0.747], [0.229, 0.688, 0.067], [0.229, 0.812, 0.567], [0.394, 0.170, 0.066], [0.394, 0.330, 0.566], [0.606, 0.670, 0.434], [0.606, 0.830, 0.934], [0.771, 0.188, 0.433], [0.771, 0.312, 0.933], [0.904, 0.544, 0.253], [0.904, 0.956, 0.753], [0.000, 0.000, 0.000], [0.000, 0.500, 0.500], [0.300, 0.116, 0.748], [0.300, 0.384, 0.248], [0.700, 0.616, 0.752], [0.700, 0.884, 0.252]], "n_ef_per_ev_fu": 5.00, "vol_a3_per_cell": 669.1, "final_energy_ev_per_fu": -28.140, "e_form_ev_per_atom": -0.46}

---

(2)
{"formula": "SrRhAu2", "functional": "PBE", "state": "relaxed", "lattice_angstrom": [[2.310, 1.334, 5.146], [-2.310, 1.334, 5.146], [0.000, -2.667, 5.146]], "species": ["Sr", "Rh", "Au", "Au"], "fractional_positions": [[0.000, 0.000, 0.000], [0.500, 0.500, 0.500], [0.202, 0.202, 0.202], [0.798, 0.798, 0.798]], "n_ef_per_ev_fu": 3.67, "vol_a3_per_cell": 95.1, "final_energy_ev_per_fu": -16.963, "e_form_ev_per_atom": -0.34}

---

(3)
{"formula": "Sr4RhAu", "functional": "PBE", "state": "relaxed", "lattice_angstrom": [[0.000, 4.640, 4.640], [4.640, 0.000, 4.640], [4.640, 4.640, 0.000]], "species": ["Sr", "Sr", "Sr", "Sr", "Rh", "Au"], "fractional_positions": [[0.376, 0.376, 0.376], [0.376, 0.376, 0.873], [0.376, 0.873, 0.376], [0.873, 0.376, 0.376], [0.750, 0.750, 0.750], [0.000, 0.000, 0.000]], "n_ef_per_ev_fu": 7.48, "vol_a3_per_cell": 199.8, "final_energy_ev_per_fu": -13.077, "de_polymorph_mev_per_atom": 1085, "e_form_ev_per_atom": 0.71}

---

(4)
{"formula": "SrRhAu2", "functional": "PBE", "state": "relaxed", "lattice_angstrom": [[3.654, 0.000, 0.000], [0.000, 3.654, 0.000], [0.000, 0.000, 6.411]], "species": ["Sr", "Rh", "Au", "Au"], "fractional_positions": [[0.000, 0.000, 0.000], [0.500, 0.500, 0.710], [0.000, 0.000, 0.526], [0.500, 0.500, 0.287]], "n_ef_per_ev_fu": 3.63, "vol_a3_per_cell": 85.6, "final_energy_ev_per_fu": -16.065, "e_form_ev_per_atom": -0.12}

---

(5)
{"formula": "SrRhAu3", "functional": "PBE", "state": "relaxed", "lattice_angstrom": [[5.089, 0.000, 0.000], [0.000, 5.089, 0.000], [0.000, 0.000, 5.089]], "species": ["Sr", "Rh", "Au", "Au", "Au"], "fractional_positions": [[0.000, 0.000, 0.000], [0.500, 0.500, 0.500], [0.000, 0.500, 0.500], [0.500, 0.000, 0.500], [0.500, 0.500, 0.000]], "n_ef_per_ev_fu": 4.49, "vol_a3_per_cell": 131.8, "final_energy_ev_per_fu": -19.132, "de_polymorph_mev_per_atom": 0, "e_form_ev_per_atom": -0.05}

---

(6)
{"formula": "SrRhAu2", "functional": "PBE", "state": "relaxed", "lattice_angstrom": [[4.033, -2.329, 0.000], [4.033, 2.329, 0.000], [-2.717, 0.000, 5.144]], "species": ["Sr", "Rh", "Au", "Au"], "fractional_positions": [[0.000, 0.000, 0.000], [0.189, 0.189, 0.567], [0.522, 0.522, 0.568], [0.802, 0.802, 0.407]], "n_ef_per_ev_fu": 2.59, "vol_a3_per_cell": 96.6, "final_energy_ev_per_fu": -16.972, "e_form_ev_per_atom": -0.35}

---

(7)
{"formula": "SrRhAu2", "functional": "PBE", "state": "relaxed", "lattice_angstrom": [[3.582, 0.000, 0.000], [0.000, 4.652, 0.000], [-1.494, 0.000, 5.299]], "species": ["Sr", "Rh", "Au", "Au"], "fractional_positions": [[0.000, 0.000, 0.000], [0.500, 0.000, 0.500], [0.360, 0.500, 0.721], [0.640, 0.500, 0.279]], "n_ef_per_ev_fu": 1.95, "vol_a3_per_cell": 88.3, "final_energy_ev_per_fu": -16.119, "e_form_ev_per_atom": -0.13}

---

(8)
{"formula": "Sr2Rh2Au", "functional": "PBE", "state": "relaxed", "lattice_angstrom": [[7.167, 0.000, 0.000], [0.000, 7.167, 0.000], [0.000, 0.000, 4.534]], "species": ["Sr", "Sr", "Sr", "Sr", "Rh", "Rh", "Rh", "Rh", "Au", "Au"], "fractional_positions": [[0.178, 0.322, 0.000], [0.322, 0.822, 0.000], [0.678, 0.178, 0.000], [0.822, 0.678, 0.000], [0.127, 0.627, 0.500], [0.373, 0.127, 0.500], [0.627, 0.873, 0.500], [0.873, 0.373, 0.500], [0.000, 0.000, 0.500], [0.500, 0.500, 0.500]], "n_ef_per_ev_fu": 8.17, "vol_a3_per_cell": 232.9, "final_energy_ev_per_fu": -22.893, "de_polymorph_mev_per_atom": 0, "e_form_ev_per_atom": -0.31}

---

(9)
{"formula": "SrRhAu2", "functional": "PBE", "state": "relaxed", "lattice_angstrom": [[0.000, 3.457, 3.457], [3.457, 0.000, 3.457], [3.457, 3.457, 0.000]], "species": ["Sr", "Rh", "Au", "Au"], "fractional_positions": [[0.000, 0.000, 0.000], [0.250, 0.250, 0.250], [0.500, 0.500, 0.500], [0.750, 0.750, 0.750]], "n_ef_per_ev_fu": 1.32, "vol_a3_per_cell": 82.6, "final_energy_ev_per_fu": -16.040, "e_form_ev_per_atom": -0.11}

---

(10)
{"formula": "SrRhAu2", "functional": "PBE", "state": "relaxed", "lattice_angstrom": [[-2.425, 2.425, 9.052], [2.425, -2.425, 9.052], [2.425, 2.425, -9.052]], "species": ["Sr", "Sr", "Rh", "Rh", "Au", "Au", "Au", "Au"], "fractional_positions": [[0.000, 0.000, 0.000], [0.750, 0.250, 0.500], [0.250, 0.750, 0.500], [0.500, 0.500, 0.000], [0.249, 0.625, 0.124], [0.375, 0.499, 0.624], [0.501, 0.125, 0.876], [0.875, 0.751, 0.376]], "n_ef_per_ev_fu": 1.18, "vol_a3_per_cell": 212.9, "final_energy_ev_per_fu": -15.894, "e_form_ev_per_atom": -0.08}

---

(11)
{"formula": "Sr5RhAu2", "functional": "PBE", "state": "relaxed", "lattice_angstrom": [[8.952, -3.747, 0.000], [8.952, 3.747, 0.000], [-0.961, 0.000, 8.248]], "species": ["Sr", "Sr", "Sr", "Sr", "Sr", "Sr", "Sr", "Sr", "Sr", "Sr", "Rh", "Rh", "Au", "Au", "Au", "Au"], "fractional_positions": [[0.075, 0.925, 0.750], [0.139, 0.296, 0.310], [0.296, 0.139, 0.810], [0.296, 0.514, 0.078], [0.486, 0.704, 0.422], [0.514, 0.296, 0.578], [0.704, 0.486, 0.922], [0.704, 0.861, 0.190], [0.861, 0.704, 0.690], [0.925, 0.075, 0.250], [0.000, 0.500, 0.000], [0.500, 0.000, 0.500], [0.112, 0.690, 0.427], [0.310, 0.888, 0.073], [0.690, 0.112, 0.927], [0.888, 0.310, 0.573]], "n_ef_per_ev_fu": 4.67, "vol_a3_per_cell": 553.3, "final_energy_ev_per_fu": -26.169, "e_form_ev_per_atom": -0.48}

---

(12)
{"formula": "Sr8RhAu2", "functional": "PBE", "state": "relaxed", "lattice_angstrom": [[10.339, -2.696, 0.000], [10.339, 2.696, 0.000], [-1.961, 0.000, 7.322]], "species": ["Sr", "Sr", "Sr", "Sr", "Sr", "Sr", "Sr", "Sr", "Rh", "Au", "Au"], "fractional_positions": [[0.039, 0.039, 0.316], [0.214, 0.214, 0.828], [0.337, 0.337, 0.536], [0.414, 0.414, 0.091], [0.586, 0.586, 0.909], [0.663, 0.663, 0.464], [0.786, 0.786, 0.172], [0.961, 0.961, 0.684], [0.500, 0.500, 0.500], [0.191, 0.191, 0.227], [0.809, 0.809, 0.773]], "n_ef_per_ev_fu": 10.72, "vol_a3_per_cell": 408.2, "final_energy_ev_per_fu": -30.686, "de_polymorph_mev_per_atom": 88, "e_form_ev_per_atom": -0.30}